1.
Compound: DyMo6
Source: Alexandria via LeMat-Bulk
Functional: PBE-GGA
Structure: relaxed

Results
- Total moment: 0.0 Bohr magnetons per cell
- Electronic total energy: -8.427 eV per atom

a b c (Å): 5.9978 5.9978 5.9978
angles (deg): 109.47 109.47 109.47
Positions (direct):
Dy 0.0000 0.0000 0.0000
Mo 0.2500 0.5000 0.7500
Mo 0.2500 0.7500 0.5000
Mo 0.5000 0.2500 0.7500
Mo 0.5000 0.7500 0.2500
Mo 0.7500 0.2500 0.5000
Mo 0.7500 0.5000 0.2500

2.
Compound: DyMo2
Source: Alexandria via LeMat-Bulk
Functional: PBE-GGA
Structure: relaxed

Results
- Total moment: 0.0 Bohr magnetons per cell
- Electronic total energy: -8.587 eV per atom

a b c (Å): 5.9176 5.9176 5.9176
angles (deg): 147.83 147.83 46.14
Positions (direct):
Dy 0.0000 0.0000 0.0000
Mo 0.3096 0.3096 0.0000
Mo 0.6904 0.6904 0.0000

3.
Compound: Dy4Mo
Source: Alexandria via LeMat-Bulk
Functional: PBE-GGA
Structure: relaxed

Results
- Total moment: 0.0 Bohr magnetons per cell
- Electronic total energy: -5.463 eV per atom

a b c (Å): 5.4046 5.4046 5.4046
angles (deg): 90.00 90.00 90.00
Positions (direct):
Dy 0.0000 0.0000 0.0000
Dy 0.0000 0.5000 0.5000
Dy 0.5000 0.0000 0.5000
Dy 0.5000 0.5000 0.0000
Mo 0.5000 0.5000 0.5000